1.
Here is a relaxed structure of Pm4GePtBr2 from Alexandria. Energies are from PBE-GGA.

Cell: 7.6156 4.1667 7.6622 Å, 90.00 107.78 90.00°
Space group P2/m (No. 10)
Asymmetric unit:
Pm (0.2228, 0.0000, 0.2012)
Pm (0.2603, 0.5000, 0.7854)
Ge (0.5000, 0.0000, 0.0000)
Pt (0.0000, 0.5000, 0.0000)
Br (0.0000, 0.0000, 0.5000)
Br (0.5000, 0.5000, 0.5000)

- N(E_F) (states/eV per cell) = 5.37
- total magnetic moment (μB per formula unit) = 0.0
- formation energy without anion corrections (meV per atom) = -1155
- theoretical density (g/cm³) = 7.23



2.
Here is a relaxed structure of Pm6GePt2Br3 from Alexandria. Energies are from PBE-GGA.

Cell: 7.3592 12.7441 7.8603 Å, 90.00 108.23 90.00°
Space group C2/m (No. 12)
Asymmetric unit:
Pm (0.2264, 0.0000, 0.2049)
Pm (0.2413, 0.3289, 0.2052)
Ge (0.0000, 0.5000, 0.0000)
Pt (0.0000, 0.1673, 0.0000)
Br (0.0000, 0.0000, 0.5000)
Br (0.0000, 0.3408, 0.5000)

- N(E_F) (states/eV per cell) = 19.58
- total magnetic moment (μB per formula unit) = 0.0
- formation energy without anion corrections (meV per atom) = -1169
- theoretical density (g/cm³) = 7.46



3.
Here is a relaxed structure of PmPuGeBr from Alexandria. Energies are from PBE-GGA.

Cell: 7.3505 7.3505 7.3505 Å, 90.00 90.00 90.00°
Space group F-43m (No. 216)
Asymmetric unit:
Pm (0.0000, 0.0000, 0.0000)
Pu (0.0000, 0.0000, 0.5000)
Ge (0.2500, 0.2500, 0.7500)
Br (0.2500, 0.2500, 0.2500)

- N(E_F) (states/eV per cell) = 31.11
- total magnetic moment (μB per formula unit) = 5.9
- formation energy without anion corrections (meV per atom) = -713
- theoretical density (g/cm³) = 9.06



4.
Here is a relaxed structure of Pm6Ge2RhBr3 from Alexandria. Energies are from PBE-GGA.

Cell: 18.9452 4.1858 8.9431 Å, 90.00 104.83 90.00°
Space group C2/m (No. 12)
Asymmetric unit:
Pm (0.0061, 0.0000, 0.2187)
Pm (0.1518, 0.5000, 0.1037)
Pm (0.1749, 0.5000, 0.5664)
Ge (0.1652, 0.0000, 0.3382)
Rh (0.0000, 0.5000, 0.0000)
Br (0.0000, 0.5000, 0.5000)
Br (0.1741, 0.0000, 0.8360)

- N(E_F) (states/eV per cell) = 15.39
- total magnetic moment (μB per formula unit) = 0.0
- formation energy without anion corrections (meV per atom) = -1087
- theoretical density (g/cm³) = 6.58



5.
Here is a relaxed structure of Pm8Ge3RhBr4 from Alexandria. Energies are from PBE-GGA.

Cell: 8.5330 8.5330 21.7345 Å, 90.00 90.00 120.00°
Space group R-3m (No. 166, hexagonal axes)
Asymmetric unit:
Pm (0.0000, 0.0000, 0.2388)
Pm (0.0105, 0.5053, 0.2359)
Ge (0.0000, 0.5000, 0.5000)
Rh (0.0000, 0.0000, 0.5000)
Br (0.0000, 0.0000, 0.0000)
Br (0.0000, 0.5000, 0.0000)

- N(E_F) (states/eV per cell) = 31.71
- total magnetic moment (μB per formula unit) = 0.0
- formation energy without anion corrections (meV per atom) = -1094
- theoretical density (g/cm³) = 6.54



6.
Here is a relaxed structure of Pm4GeSBr2 from Alexandria. Energies are from PBE-GGA.

Cell: 7.1633 4.1971 7.6716 Å, 90.00 108.86 90.00°
Space group P2/m (No. 10)
Asymmetric unit:
Pm (0.2233, 0.0000, 0.2007)
Pm (0.2520, 0.5000, 0.7935)
Ge (0.5000, 0.0000, 0.0000)
S (0.0000, 0.5000, 0.0000)
Br (0.0000, 0.0000, 0.5000)
Br (0.5000, 0.5000, 0.5000)

- N(E_F) (states/eV per cell) = 3.25
- total magnetic moment (μB per formula unit) = 0.0
- formation energy without anion corrections (meV per atom) = -1387
- theoretical density (g/cm³) = 6.43



7.
Here is a relaxed structure of Pm4Ge2SBr from Alexandria. Energies are from PBE-GGA.

Cell: 7.2867 4.2412 7.3603 Å, 90.00 109.53 90.00°
Space group P2/m (No. 10)
Asymmetric unit:
Pm (0.2318, 0.0000, 0.2333)
Pm (0.2401, 0.5000, 0.7566)
Ge (0.0000, 0.0000, 0.5000)
Ge (0.0000, 0.5000, 0.0000)
S (0.5000, 0.0000, 0.0000)
Br (0.5000, 0.5000, 0.5000)

- N(E_F) (states/eV per cell) = 1.74
- total magnetic moment (μB per formula unit) = 0.0
- formation energy without anion corrections (meV per atom) = -1304
- theoretical density (g/cm³) = 6.49



8.
Here is a relaxed structure of Pm6Ge2SBr3 from Alexandria. Energies are from PBE-GGA.

Cell: 18.9401 4.2241 8.6718 Å, 90.00 106.54 90.00°
Space group C2/m (No. 12)
Asymmetric unit:
Pm (0.0067, 0.0000, 0.2154)
Pm (0.1526, 0.5000, 0.0978)
Pm (0.1756, 0.5000, 0.5623)
Ge (0.1650, 0.0000, 0.3297)
S (0.0000, 0.5000, 0.0000)
Br (0.0000, 0.5000, 0.5000)
Br (0.1702, 0.0000, 0.8343)

- N(E_F) (states/eV per cell) = 13.22
- total magnetic moment (μB per formula unit) = 0.0
- formation energy without anion corrections (meV per atom) = -1305
- theoretical density (g/cm³) = 6.43



9.
Here is a relaxed structure of Pm6GeS2Br3 from Alexandria. Energies are from PBE-GGA.

Cell: 18.8127 4.1870 8.5845 Å, 90.00 108.20 90.00°
Space group C2/m (No. 12)
Asymmetric unit:
Pm (0.0143, 0.0000, 0.2347)
Pm (0.1600, 0.5000, 0.1191)
Pm (0.1767, 0.5000, 0.5520)
Ge (0.0000, 0.5000, 0.0000)
S (0.1694, 0.0000, 0.3368)
Br (0.0000, 0.5000, 0.5000)
Br (0.1639, 0.0000, 0.8337)

- N(E_F) (states/eV per cell) = 10.39
- total magnetic moment (μB per formula unit) = 0.0
- formation energy without anion corrections (meV per atom) = -1450
- theoretical density (g/cm³) = 6.44



10.
Here is a relaxed structure of Pm6Ge3Se2Br from Alexandria. Energies are from PBE-GGA.

Cell: 18.6142 4.2648 8.5568 Å, 90.00 103.41 90.00°
Space group C2/m (No. 12)
Asymmetric unit:
Pm (0.0022, 0.0000, 0.2310)
Pm (0.1646, 0.5000, 0.0894)
Pm (0.1740, 0.5000, 0.5790)
Ge (0.0000, 0.5000, 0.0000)
Ge (0.1646, 0.0000, 0.3333)
Se (0.1663, 0.0000, 0.8317)
Br (0.0000, 0.5000, 0.5000)

- N(E_F) (states/eV per cell) = 4.78
- total magnetic moment (μB per formula unit) = 0.0
- formation energy without anion corrections (meV per atom) = -1333
- theoretical density (g/cm³) = 6.66



11.
Here is a relaxed structure of Pm6Ge2Se3Br from Alexandria. Energies are from PBE-GGA.

Cell: 18.4656 4.2266 8.5534 Å, 90.00 102.42 90.00°
Space group C2/m (No. 12)
Asymmetric unit:
Pm (0.0070, 0.0000, 0.2752)
Pm (0.1691, 0.5000, 0.5788)
Pm (0.1753, 0.5000, 0.1022)
Ge (0.1666, 0.0000, 0.3326)
Se (0.0000, 0.5000, 0.5000)
Se (0.1610, 0.0000, 0.8373)
Br (0.0000, 0.5000, 0.0000)

- N(E_F) (states/eV per cell) = 8.30
- total magnetic moment (μB per formula unit) = 0.0
- formation energy without anion corrections (meV per atom) = -1476
- theoretical density (g/cm³) = 6.79



12.
Here is a relaxed structure of Pm8Ge3SeBr4 from Alexandria. Energies are from PBE-GGA.

Cell: 8.5252 8.5252 21.6232 Å, 90.00 90.00 120.00°
Space group R-3m (No. 166, hexagonal axes)
Asymmetric unit:
Pm (0.0000, 0.0000, 0.2376)
Pm (0.0063, 0.5031, 0.7630)
Ge (0.0000, 0.5000, 0.5000)
Se (0.0000, 0.0000, 0.5000)
Br (0.0000, 0.0000, 0.0000)
Br (0.0000, 0.5000, 0.0000)

- N(E_F) (states/eV per cell) = 22.85
- total magnetic moment (μB per formula unit) = 0.0
- formation energy without anion corrections (meV per atom) = -1245
- theoretical density (g/cm³) = 6.50